Entry 1:
The following is a PBE calculation of a relaxed structure of Ni2AgSb, from Alexandria via LeMat-Bulk.

Computed properties:
- Uncorrected formation energy: 93 meV per atom
- Total magnetic moment: 0.000 μB per atom

```
data_Ni2AgSb
_chemical_formula_sum 'Ni2 Ag1 Sb1'
_cell_length_a 5.136
_cell_length_b 5.136
_cell_length_c 5.136
_cell_angle_alpha 47.19
_cell_angle_beta 47.19
_cell_angle_gamma 47.19
_space_group_name_H-M_alt 'P 1'
_space_group_IT_number 1
_space_group_name_Hall 'P 1'
loop_
_atom_site_label
_atom_site_type_symbol
_atom_site_fract_x
_atom_site_fract_y
_atom_site_fract_z
_atom_site_occupancy
Ag1 Ag 0.734 0.734 0.734 1
Ni1 Ni 0.932 0.932 0.932 1
Ni2 Ni 0.308 0.308 0.308 1
Sb1 Sb 0.525 0.525 0.525 1
```

=====

Entry 2:
The following is a PBE calculation of a relaxed structure of TaBTe, from Alexandria via LeMat-Bulk.

Computed properties:
- Uncorrected formation energy: -495 meV per atom
- Total magnetic moment: 0.000 μB per atom

```
data_TaBTe
_chemical_formula_sum 'Ta2 B2 Te2'
_cell_length_a 3.334
_cell_length_b 3.334
_cell_length_c 11.332
_cell_angle_alpha 81.54
_cell_angle_beta 81.54
_cell_angle_gamma 60.00
_space_group_name_H-M_alt 'P 1'
_space_group_IT_number 1
_space_group_name_Hall 'P 1'
loop_
_atom_site_label
_atom_site_type_symbol
_atom_site_fract_x
_atom_site_fract_y
_atom_site_fract_z
_atom_site_occupancy
Ta1 Ta 0.545 0.545 0.365 1
Ta2 Ta 0.455 0.455 0.635 1
Te1 Te 0.273 0.273 0.181 1
Te2 Te 0.727 0.727 0.819 1
B1 B 0.834 0.834 0.499 1
B2 B 0.166 0.166 0.501 1
```

=====

Entry 3:
The following is a PBE calculation of a relaxed structure of PmTm2Sb3, from Alexandria via LeMat-Bulk.

Computed properties:
- Uncorrected formation energy: -1099 meV per atom
- Total magnetic moment: 0.000 μB per atom

```
data_PmTm2Sb3
_chemical_formula_sum 'Pm1 Tm2 Sb3'
_cell_length_a 4.388
_cell_length_b 6.215
_cell_length_c 7.605
_cell_angle_alpha 114.12
_cell_angle_beta 106.77
_cell_angle_gamma 90.00
_space_group_name_H-M_alt 'P 1'
_space_group_IT_number 1
_space_group_name_Hall 'P 1'
loop_
_atom_site_label
_atom_site_type_symbol
_atom_site_fract_x
_atom_site_fract_y
_atom_site_fract_z
_atom_site_occupancy
Pm1 Pm 0.500 0.500 0.500 1
Tm1 Tm 0.835 0.835 0.170 1
Tm2 Tm 0.165 0.165 0.830 1
Sb1 Sb 0.828 0.328 0.155 1
Sb2 Sb 0.172 0.672 0.845 1
Sb3 Sb 0.500 0.000 0.500 1
```

=====

Entry 4:
The following is a PBE calculation of a relaxed structure of Zr12Tl3Os, from Alexandria via LeMat-Bulk.

Computed properties:
- Energy of formation: -0.10 eV/atom
- Total magnetic moment: 0.000 μB per atom

```
data_Zr12Tl3Os
_chemical_formula_sum 'Zr12 Tl3 Os1'
_cell_length_a 4.598
_cell_length_b 4.598
_cell_length_c 16.715
_cell_angle_alpha 90.00
_cell_angle_beta 90.00
_cell_angle_gamma 90.00
_space_group_name_H-M_alt 'P 1'
_space_group_IT_number 1
_space_group_name_Hall 'P 1'
loop_
_atom_site_label
_atom_site_type_symbol
_atom_site_fract_x
_atom_site_fract_y
_atom_site_fract_z
_atom_site_occupancy
Zr1 Zr 0.500 0.500 0.000 1
Zr2 Zr 0.500 0.500 0.239 1
Zr3 Zr 0.500 0.500 0.500 1
Zr4 Zr 0.500 0.500 0.761 1
Zr5 Zr 0.500 0.000 0.105 1
Zr6 Zr 0.500 0.000 0.371 1
Zr7 Zr 0.500 0.000 0.629 1
Zr8 Zr 0.500 0.000 0.895 1
Zr9 Zr 0.000 0.500 0.105 1
Zr10 Zr 0.000 0.500 0.371 1
Zr11 Zr 0.000 0.500 0.629 1
Zr12 Zr 0.000 0.500 0.895 1
Tl1 Tl 0.000 0.000 0.240 1
Tl2 Tl 0.000 0.000 0.500 1
Tl3 Tl 0.000 0.000 0.760 1
Os1 Os 0.000 0.000 0.000 1
```